1.
Material: LaMnNi
Method: DFT, PBE
State: optimized geometry

a = 5.857 Å, b = 5.857 Å, c = 5.857 Å
α = 147.14°, β = 147.14°, γ = 47.16°
Site moments in Bohr magnetons follow the coordinates.
Fractional positions:
Mn 0.291 0.291 0.000  3.59
La 0.007 0.007 0.000  -0.14
Ni 0.702 0.702 0.000  0.47

Computed properties:
N(E_F): 3.42 states/eV per cell
Energy of formation from the pure elements: 0.11 eV per atom
Volume: 19.65 Å³/atom

2.
Material: LaMnNi3
Method: DFT, PBE
State: optimized geometry

a = 4.413 Å, b = 4.413 Å, c = 4.413 Å
α = 90.00°, β = 90.00°, γ = 90.00°
Fractional positions:
Ni 0.000 0.500 0.000
Ni 0.500 0.000 0.000
Mn 0.000 0.000 0.000
La 0.500 0.500 0.500
Ni 0.000 0.000 0.500

Computed properties:
N(E_F): 6.56 states/eV per cell
Energy of formation from the pure elements: 0.31 eV per atom
Volume: 17.19 Å³/atom

3.
Material: LaMnNi
Method: DFT, PBE
State: optimized geometry

a = 4.109 Å, b = 4.109 Å, c = 4.244 Å
α = 90.00°, β = 90.00°, γ = 120.00°
Site moments in Bohr magnetons follow the coordinates.
Fractional positions:
Mn 0.667 0.333 0.500  2.92
La 0.000 0.000 0.000  -0.20
Ni 0.333 0.667 0.500  0.23

Computed properties:
N(E_F): 3.17 states/eV per cell
Energy of formation from the pure elements: -0.03 eV per atom
Volume: 20.69 Å³/atom

4.
Material: La2MnNi
Method: DFT, PBE
State: optimized geometry

a = 5.928 Å, b = 5.928 Å, c = 5.928 Å
α = 138.45°, β = 138.45°, γ = 60.22°
Site moments in Bohr magnetons follow the coordinates.
Fractional positions:
Mn 0.500 0.500 0.000  -3.26
La 0.000 0.000 0.000  0.26
Ni 0.750 0.250 0.500  -0.09
La 0.250 0.750 0.500  0.17

Computed properties:
N(E_F): 5.08 states/eV per cell
Energy of formation from the pure elements: 0.19 eV per atom
Volume: 22.68 Å³/atom

5.
Material: La2Mn2Ni
Method: DFT, PBE
State: optimized geometry

a = 6.736 Å, b = 6.736 Å, c = 4.681 Å
α = 90.00°, β = 90.00°, γ = 90.00°
Site moments in Bohr magnetons follow the coordinates.
Fractional positions:
Mn 0.857 0.643 0.000  3.17
La 0.673 0.827 0.500  -0.21
La 0.173 0.673 0.500  -0.21
La 0.327 0.173 0.500  -0.21
Mn 0.143 0.357 0.000  3.17
Ni 0.500 0.500 0.000  0.41
Mn 0.643 0.143 0.000  3.14
Mn 0.357 0.857 0.000  3.14
La 0.827 0.327 0.500  -0.21
Ni 0.000 0.000 0.000  0.40

Computed properties:
N(E_F): 13.58 states/eV per cell
Energy of formation from the pure elements: 0.23 eV per atom
Volume: 21.24 Å³/atom

6.
Material: LaMnNi3
Method: DFT, PBE
State: optimized geometry

a = 5.518 Å, b = 5.873 Å, c = 5.876 Å
α = 119.92°, β = 90.00°, γ = 90.00°
Site moments in Bohr magnetons follow the coordinates.
Fractional positions:
Ni 0.250 0.393 0.197  0.27
Ni 0.750 0.607 0.803  0.27
Ni 0.750 0.197 0.392  0.27
Ni 0.750 0.196 0.803  0.27
Ni 0.250 0.804 0.197  0.27
Ni 0.250 0.803 0.608  0.27
La 0.250 0.333 0.667  -0.06
Mn 0.000 0.000 0.000  3.17
Mn 0.500 0.000 0.000  3.17
La 0.750 0.667 0.333  -0.06

Computed properties:
N(E_F): 5.51 states/eV per cell
Energy of formation from the pure elements: -0.09 eV per atom
Volume: 16.51 Å³/atom

7.
Material: La2MnNi
Method: DFT, PBE
State: optimized geometry

a = 4.088 Å, b = 4.152 Å, c = 6.086 Å
α = 70.09°, β = 90.00°, γ = 90.00°
Site moments in Bohr magnetons follow the coordinates.
Fractional positions:
La 0.000 0.982 0.911  -0.22
Mn 0.000 0.685 0.506  2.98
Ni 0.500 0.564 0.746  0.21
La 0.500 0.269 0.337  -0.25

Computed properties:
N(E_F): 4.67 states/eV per cell
Energy of formation from the pure elements: -0.02 eV per atom
Volume: 24.28 Å³/atom

8.
Material: LaMn2Ni6
Method: DFT, PBE
State: optimized geometry

a = 4.030 Å, b = 6.549 Å, c = 6.549 Å
α = 58.92°, β = 72.08°, γ = 72.08°
Site moments in Bohr magnetons follow the coordinates.
Fractional positions:
Ni 0.284 0.903 0.530  0.52
Mn 0.131 0.369 0.369  3.51
Ni 0.500 0.679 0.321  0.37
Mn 0.869 0.631 0.631  3.51
Ni 0.500 0.321 0.679  0.37
Ni 0.716 0.097 0.470  0.52
Ni 0.284 0.530 0.903  0.52
La 0.000 0.000 0.000  -0.09
Ni 0.716 0.470 0.097  0.52

Computed properties:
N(E_F): 10.90 states/eV per cell
Energy of formation from the pure elements: 0.10 eV per atom
Volume: 15.39 Å³/atom

no.,E (eV per atom)
1,-6.512
2,-5.980
3,-6.654
4,-6.013
5,-6.568
6,-6.380
7,-6.224
8,-6.335